{
  "formula": "SbPOs2",
  "functional": "PBE",
  "state": "relaxed",
  "cell": [[4.0743, -1.5163, 0.0000], [4.0743, 1.5163, 0.0000], [-0.8683, 0.0000, 5.6023]],
  "species": ["Sb", "P", "Os", "Os"],
  "frac_coords": [[0.0000, 0.0000, 0.0000], [0.7932, 0.7932, 0.4463], [0.2504, 0.2504, 0.7480], [0.5067, 0.5067, 0.4143]],
  "de_polymorph_mev_per_atom": 0,
  "spacegroup": "Cm (8)",
  "total_energy_ev_per_atom": -7.90,
  "e_form_raw_ev_per_atom": 0.095
}

***

{
  "formula": "KPb2Au",
  "functional": "PBE",
  "state": "relaxed",
  "cell": [[3.3533, -5.8677, 0.0000], [3.3533, 5.8677, 0.0000], [-1.8562, 0.0000, 3.0479]],
  "species": ["K", "Pb", "Pb", "Au"],
  "frac_coords": [[0.0000, 0.0000, 0.0000], [0.0000, 0.5000, 0.5000], [0.5000, 0.0000, 0.5000], [0.5000, 0.5000, 0.0000]],
  "spacegroup": "C2/m (12)",
  "total_energy_ev_per_atom": -2.92,
  "e_form_kj_per_mol_fu": 9
}

***

{
  "formula": "PPtBr2",
  "functional": "PBE",
  "state": "relaxed",
  "cell": [[0.0000, 3.3848, 3.3848], [3.3848, 0.0000, 3.3848], [3.3848, 3.3848, 0.0000]],
  "species": ["P", "Pt", "Br", "Br"],
  "frac_coords": [[0.0000, 0.0000, 0.0000], [0.2500, 0.2500, 0.2500], [0.5000, 0.5000, 0.5000], [0.7500, 0.7500, 0.7500]],
  "spacegroup": "F-43m (216)",
  "total_energy_ev_per_atom": -2.83,
  "e_form_raw_ev_per_atom": 0.871
}

***

{
  "formula": "ZrRe2Cl",
  "functional": "PBE",
  "state": "relaxed",
  "cell": [[-1.7079, 2.5778, 4.4095], [1.7079, -2.5778, 4.4095], [1.7079, 2.5778, -4.4095]],
  "species": ["Zr", "Re", "Re", "Cl"],
  "frac_coords": [[0.0000, 0.0000, 0.0000], [0.3368, 0.8368, 0.5000], [0.5194, 0.5194, 0.0000], [0.7624, 0.2624, 0.5000]],
  "de_polymorph_mev_per_atom": 625,
  "spacegroup": "Imm2 (44)",
  "total_energy_ev_per_atom": -8.32,
  "e_form_raw_ev_per_atom": 0.500
}

***

{
  "formula": "K2Tl4Ir",
  "functional": "PBE",
  "state": "relaxed",
  "cell": [[-2.6607, 2.6607, 9.0331], [2.6607, -2.6607, 9.0331], [2.6607, 2.6607, -9.0331]],
  "species": ["K", "K", "Tl", "Tl", "Tl", "Tl", "Ir"],
  "frac_coords": [[0.1538, 0.1538, 0.0000], [0.8462, 0.8462, 0.0000], [0.0000, 0.5000, 0.5000], [0.3465, 0.3465, 0.0000], [0.5000, 0.0000, 0.5000], [0.6535, 0.6535, 0.0000], [0.5000, 0.5000, 0.0000]],
  "spacegroup": "I4/mmm (139)",
  "total_energy_ev_per_atom": -2.87,
  "e_form_kj_per_mol_fu": 43
}

***

{
  "formula": "LaTb2SmDy2",
  "functional": "PBE",
  "state": "relaxed",
  "cell": [[6.9958, 0.0000, 0.0000], [0.0000, 16.2250, 0.0000], [0.0000, 0.0000, 3.5579]],
  "species": ["La", "La", "Tb", "Tb", "Tb", "Tb", "Sm", "Sm", "Dy", "Dy", "Dy", "Dy"],
  "frac_coords": [[0.0000, 0.0000, 0.0000], [0.5000, 0.5000, 0.5000], [0.2487, 0.3416, 0.0000], [0.2513, 0.8416, 0.5000], [0.7487, 0.1584, 0.5000], [0.7513, 0.6584, 0.0000], [0.0000, 0.5000, 0.5000], [0.5000, 0.0000, 0.0000], [0.2501, 0.1577, 0.5000], [0.2499, 0.6577, 0.0000], [0.7501, 0.3423, 0.0000], [0.7499, 0.8423, 0.5000]],
  "spacegroup": "Pnnm (58)",
  "total_energy_ev_per_atom": -4.52,
  "e_form_kj_per_mol_fu": 97
}

***

{
  "formula": "MoIr2Os",
  "functional": "PBE",
  "state": "relaxed",
  "cell": [[3.3402, 0.0000, 0.0000], [0.0000, 3.3402, 0.0000], [0.0000, 0.0000, 5.4557]],
  "species": ["Mo", "Ir", "Ir", "Os"],
  "frac_coords": [[0.0000, 0.0000, 0.0000], [0.5000, 0.5000, 0.2559], [0.5000, 0.5000, 0.7441], [0.0000, 0.0000, 0.5000]],
  "de_polymorph_mev_per_atom": 507,
  "spacegroup": "P4/mmm (123)",
  "total_energy_ev_per_atom": -9.67,
  "e_form_kj_per_mol_fu": 108
}

***

{
  "formula": "KAuCl",
  "functional": "PBE",
  "state": "relaxed",
  "cell": [[0.0000, 3.6117, 3.6117], [3.6117, 0.0000, 3.6117], [3.6117, 3.6117, 0.0000]],
  "species": ["K", "Au", "Cl"],
  "frac_coords": [[0.0000, 0.0000, 0.0000], [0.5000, 0.5000, 0.5000], [0.7500, 0.7500, 0.7500]],
  "de_polymorph_mev_per_atom": 218,
  "spacegroup": "F-43m (216)",
  "total_energy_ev_per_atom": -2.54,
  "e_form_raw_ev_per_atom": -0.470
}

***

{
  "formula": "CeIr2Ru",
  "functional": "PBE",
  "state": "relaxed",
  "cell": [[4.0578, 0.0000, 0.0000], [0.0000, 4.0578, 0.0000], [0.0000, 0.0000, 4.1106]],
  "species": ["Ce", "Ir", "Ir", "Ru"],
  "frac_coords": [[0.0000, 0.0000, 0.0000], [0.0000, 0.5000, 0.5000], [0.5000, 0.0000, 0.5000], [0.5000, 0.5000, 0.0000]],
  "spacegroup": "P4/mmm (123)",
  "total_energy_ev_per_atom": -8.62,
  "e_form_kj_per_mol_fu": -150
}

***

{
  "formula": "Nd2Dy4Th3",
  "functional": "PBE",
  "state": "relaxed",
  "cell": [[3.5759, 0.0000, 0.0000], [-1.7879, 3.0968, 0.0000], [0.0000, 0.0000, 26.7440]],
  "species": ["Nd", "Nd", "Dy", "Dy", "Dy", "Dy", "Th", "Th", "Th"],
  "frac_coords": [[0.0000, 0.0000, 0.0000], [0.0000, 0.0000, 0.2219], [0.0000, 0.0000, 0.3495], [0.0000, 0.0000, 0.5654], [0.3333, 0.6667, 0.6718], [0.3333, 0.6667, 0.8883], [0.0000, 0.0000, 0.7806], [0.3333, 0.6667, 0.1122], [0.3333, 0.6667, 0.4550]],
  "spacegroup": "P3m1 (156)",
  "total_energy_ev_per_atom": -5.50,
  "e_form_kj_per_mol_fu": 70
}

***

{
  "formula": "Dy4Te2CS",
  "functional": "PBE",
  "state": "relaxed",
  "cell": [[6.9079, 0.0000, 0.0000], [0.0000, 3.9425, 0.0000], [-2.2721, 0.0000, 6.9737]],
  "species": ["Dy", "Dy", "Dy", "Dy", "Te", "Te", "C", "S"],
  "frac_coords": [[0.2098, 0.0000, 0.1938], [0.2406, 0.5000, 0.8022], [0.7594, 0.5000, 0.1978], [0.7902, 0.0000, 0.8062], [0.0000, 0.0000, 0.5000], [0.5000, 0.5000, 0.5000], [0.0000, 0.5000, 0.0000], [0.5000, 0.0000, 0.0000]],
  "spacegroup": "P2/m (10)",
  "total_energy_ev_per_atom": -6.06,
  "e_form_raw_ev_per_atom": -1.303
}

***

{
  "formula": "LiBiSbAu",
  "functional": "PBE",
  "state": "relaxed",
  "cell": [[0.0000, 3.6002, 3.6002], [3.6002, 0.0000, 3.6002], [3.6002, 3.6002, 0.0000]],
  "species": ["Li", "Bi", "Sb", "Au"],
  "frac_coords": [[0.0000, 0.0000, 0.0000], [0.2500, 0.2500, 0.2500], [0.7500, 0.7500, 0.7500], [0.5000, 0.5000, 0.5000]],
  "spacegroup": "F-43m (216)",
  "total_energy_ev_per_atom": -3.38,
  "e_form_raw_ev_per_atom": -0.083
}